Material: Tl2InNiBr
Method: DFT, PBE
State: relaxed

Properties
Theoretical density ... 8.1 g/cm³
Energy relative to the elements, uncorrected ... -268.3 meV per atom

Cell lengths 5.1878, 5.1878, 5.0740 Å; angles 90.00, 90.00, 90.00 degrees
Positions (direct):
Tl: 0.0000 0.5000 0.0000
Tl: 0.5000 0.0000 0.0000
In: 0.0000 0.0000 0.5000
Ni: 0.0000 0.0000 0.0000
Br: 0.5000 0.5000 0.5000

Material: NpIn6Br12
Method: DFT, PBE
State: relaxed

Properties
Theoretical density ... 4.4 g/cm³
Energy relative to the elements, uncorrected ... -772.9 meV per atom

Cell lengths 9.0610, 9.0610, 9.0610 Å; angles 99.47, 99.47, 99.47 degrees
Positions (direct):
Np: 0.0000 0.0000 0.0000
In: 0.1573 0.6255 0.3342
In: 0.3342 0.1573 0.6255
In: 0.3745 0.6658 0.8427
In: 0.6255 0.3342 0.1573
In: 0.6658 0.8427 0.3745
In: 0.8427 0.3745 0.6658
Br: 0.0243 0.7000 0.9241
Br: 0.0759 0.9757 0.3000
Br: 0.1756 0.4185 0.5631
Br: 0.3000 0.0759 0.9757
Br: 0.4185 0.5631 0.1756
Br: 0.4369 0.8244 0.5815
Br: 0.5631 0.1756 0.4185
Br: 0.5815 0.4369 0.8244
Br: 0.7000 0.9241 0.0243
Br: 0.8244 0.5815 0.4369
Br: 0.9241 0.0243 0.7000
Br: 0.9757 0.3000 0.0759

Material: NpIn3Br7
Method: DFT, PBE
State: relaxed

Properties
Theoretical density ... 4.6 g/cm³
Energy relative to the elements, uncorrected ... -907.2 meV per atom

Cell lengths 7.5420, 7.5420, 9.0745 Å; angles 116.61, 116.61, 80.15 degrees
Positions (direct):
Np: 0.0000 0.0000 0.0000
In: 0.1251 0.7113 0.4365
In: 0.4438 0.4438 0.9049
In: 0.7113 0.1251 0.4365
Br: 0.0149 0.6345 0.7168
Br: 0.1449 0.1449 0.8367
Br: 0.3214 0.3214 0.3231
Br: 0.3284 0.8114 0.1983
Br: 0.6345 0.0149 0.7168
Br: 0.7905 0.7905 0.0673
Br: 0.8114 0.3284 0.1983

Material: Np2In2Br7
Method: DFT, PBE
State: relaxed

Properties
Theoretical density ... 5.1 g/cm³
Energy relative to the elements, uncorrected ... -979.6 meV per atom

Cell lengths 7.6057, 7.6057, 7.4789 Å; angles 93.81, 93.81, 70.98 degrees
Positions (direct):
Np: 0.2399 0.2399 0.0402
Np: 0.7601 0.7601 0.9598
In: 0.2327 0.7673 0.5000
In: 0.7673 0.2327 0.5000
Br: 0.0000 0.0000 0.0000
Br: 0.0596 0.4929 0.7515
Br: 0.4508 0.4508 0.2448
Br: 0.4929 0.0596 0.7515
Br: 0.5071 0.9404 0.2485
Br: 0.5492 0.5492 0.7552
Br: 0.9404 0.5071 0.2485

Material: Np2In5Br12
Method: DFT, PBE
State: relaxed

Properties
Theoretical density ... 4.3 g/cm³
Energy relative to the elements, uncorrected ... -930.2 meV per atom

Cell lengths 10.0010, 10.0010, 10.6850 Å; angles 107.36, 107.36, 50.47 degrees
Positions (direct):
Np: 0.2488 0.7512 0.0000
Np: 0.7512 0.2488 0.0000
In: 0.1819 0.1819 0.7700
In: 0.2196 0.2196 0.3757
In: 0.5000 0.5000 0.5000
In: 0.7804 0.7804 0.6243
In: 0.8181 0.8181 0.2300
Br: 0.0073 0.0073 0.1885
Br: 0.0824 0.5980 0.9265
Br: 0.1012 0.6114 0.4463
Br: 0.3886 0.8988 0.5537
Br: 0.4020 0.9176 0.0735
Br: 0.4923 0.4923 0.8151
Br: 0.5077 0.5077 0.1849
Br: 0.5980 0.0824 0.9265
Br: 0.6114 0.1012 0.4463
Br: 0.8988 0.3886 0.5537
Br: 0.9176 0.4020 0.0735
Br: 0.9927 0.9927 0.8115

Material: NpInBr5
Method: DFT, PBE
State: relaxed

Properties
Theoretical density ... 4.4 g/cm³
Energy relative to the elements, uncorrected ... -1054.2 meV per atom

Cell lengths 7.7610, 7.7610, 11.0332 Å; angles 109.33, 109.33, 70.69 degrees
Positions (direct):
Np: 0.0000 0.0000 0.0000
Np: 0.0000 0.0000 0.5000
In: 0.4779 0.5221 0.7500
In: 0.5221 0.4779 0.2500
Br: 0.0906 0.9094 0.7500
Br: 0.1269 0.3167 0.6267
Br: 0.2122 0.6395 0.0128
Br: 0.3167 0.1269 0.1267
Br: 0.3605 0.7878 0.4872
Br: 0.6395 0.2122 0.5128
Br: 0.6833 0.8731 0.8733
Br: 0.7878 0.3605 0.9872
Br: 0.8731 0.6833 0.3733
Br: 0.9094 0.0906 0.2500